Record 1
# GGA-PBE Li2CoPt, relaxed
# **E above lowest polymorph**: 0.016 eV/atom
# **Formation enthalpy at 0 K**: -0.9 eV per formula unit
data_Li2CoPt
_cell_length_a 2.735
_cell_length_b 4.358
_cell_length_c 8.656
_cell_angle_alpha 90.00
_cell_angle_beta 90.00
_cell_angle_gamma 90.00
_space_group_name_H-M_alt 'I m m m'
_space_group_IT_number 71
_space_group_name_Hall '-I 2 2'
loop_
_atom_site_label
_atom_site_fract_x
_atom_site_fract_y
_atom_site_fract_z
Li1 0.000 0.000 0.246
Co1 0.000 0.500 0.500
Pt1 0.000 0.500 0.000


Record 2
# GGA-PBE Y2Ho15Th2, relaxed
# **Formation enthalpy at 0 K**: 5.4 eV per formula unit
data_Y2Ho15Th2
_cell_length_a 11.0569
_cell_length_b 11.0569
_cell_length_c 17.7381
_cell_angle_alpha 90.00
_cell_angle_beta 90.00
_cell_angle_gamma 120.00
_space_group_name_H-M_alt 'R -3 m'
_space_group_IT_number 166
_space_group_name_Hall '-R 3 2"'
loop_
_atom_site_label
_atom_site_fract_x
_atom_site_fract_y
_atom_site_fract_z
Y1 0.0000 0.0000 0.1825
Ho1 0.0000 0.3008 0.5000
Ho2 0.0000 0.5000 0.0000
Ho3 0.0099 0.5049 0.6363
Th1 0.0000 0.0000 0.4116


Record 3
# GGA-PBE V2Cr2W5, relaxed
# **Formation enthalpy at 0 K**: -0.1 eV per formula unit
data_V2Cr2W5
_cell_length_a 2.702
_cell_length_b 6.674
_cell_length_c 7.504
_cell_angle_alpha 100.26
_cell_angle_beta 90.11
_cell_angle_gamma 97.55
_space_group_name_H-M_alt 'P -1'
_space_group_IT_number 2
_space_group_name_Hall '-P 1'
loop_
_atom_site_label
_atom_site_fract_x
_atom_site_fract_y
_atom_site_fract_z
V1 0.226 0.171 0.113
Cr1 0.337 0.502 0.665
W1 0.000 0.500 0.000
W2 0.107 0.821 0.556
W3 0.447 0.834 0.221


Record 4
# GGA-PBE Cs3Li2DyBr8, relaxed
# **ΔE_f (raw)**: -1732 meV/atom
data_Cs3Li2DyBr8
_cell_length_a 7.8930
_cell_length_b 7.8930
_cell_length_c 10.2272
_cell_angle_alpha 90.00
_cell_angle_beta 90.00
_cell_angle_gamma 120.00
_space_group_name_H-M_alt 'P -3 m 1'
_space_group_IT_number 164
_space_group_name_Hall '-P 3 2"'
loop_
_atom_site_label
_atom_site_fract_x
_atom_site_fract_y
_atom_site_fract_z
Cs1 0.0000 0.0000 0.0000
Cs2 0.3333 0.6667 0.6508
Li1 0.3333 0.6667 0.2160
Dy1 0.0000 0.0000 0.5000
Br1 0.1647 0.3294 0.3377
Br2 0.3333 0.6667 0.9848


Record 5
# GGA-PBE Tb12PmNd3, relaxed
# **Formation enthalpy at 0 K**: 0.3 eV per formula unit
data_Tb12PmNd3
_cell_length_a 5.075
_cell_length_b 5.075
_cell_length_c 20.293
_cell_angle_alpha 90.00
_cell_angle_beta 90.00
_cell_angle_gamma 90.00
_space_group_name_H-M_alt 'P 4/m m m'
_space_group_IT_number 123
_space_group_name_Hall '-P 4 2'
loop_
_atom_site_label
_atom_site_fract_x
_atom_site_fract_y
_atom_site_fract_z
Tb1 0.000 0.000 0.000
Tb2 0.000 0.000 0.250
Tb3 0.000 0.000 0.500
Tb4 0.000 0.500 0.125
Tb5 0.000 0.500 0.375
Pm1 0.500 0.500 0.000
Nd1 0.500 0.500 0.250
Nd2 0.500 0.500 0.500


Record 6
# GGA-PBE Nd4Ge2Te, relaxed
# **ΔE_f (raw)**: -960 meV/atom
# **E above lowest polymorph**: 0.000 eV/atom
data_Nd4Ge2Te
_cell_length_a 9.312
_cell_length_b 9.312
_cell_length_c 9.172
_cell_angle_alpha 90.00
_cell_angle_beta 90.00
_cell_angle_gamma 90.00
_space_group_name_H-M_alt 'I -4 2 d'
_space_group_IT_number 122
_space_group_name_Hall 'I -4 2bw'
loop_
_atom_site_label
_atom_site_fract_x
_atom_site_fract_y
_atom_site_fract_z
Nd1 0.070 0.676 0.435
Ge1 0.133 0.750 0.125
Te1 0.000 0.000 0.500


no.,raw total energy (eV per formula unit),Fermi-level density of states (states/eV/atom)
1,-17.9,0.814
2,-91.0,1.614
3,-102.3,0.565
4,-48.6,0.000
5,-74.3,1.395
6,-38.2,1.001